Computed, not measured: a relaxed LaPr2H crystal at the PBE level of DFT.

Computed properties:
Electronic total energy (eV/cell): -55.391

Lattice parameters (Å, degrees): 3.7767 3.7767 26.8194 90.00 90.00 120.00
Space group R-3m (No. 166, hexagonal axes)
Symmetry-distinct sites (fractional):
La 0.0000 0.0000 0.0000
Pr 0.0000 0.0000 0.2212
H 0.0000 0.0000 0.5000

---

Computed, not measured: a relaxed CoSbPb2 crystal at the PBE level of DFT.

Computed properties:
Electronic total energy (eV/cell): -18.004
Raw formation energy (eV/atom): 0.160

Lattice parameters (Å, degrees): 4.713 4.091 6.227 90.00 112.15 90.00
Space group P2/m (No. 10)
Symmetry-distinct sites (fractional):
Co 0.000 0.000 0.000
Sb 0.500 0.000 0.000
Pb 0.153 0.500 0.305

---

Computed, not measured: a relaxed MgCu3Se crystal at the PBE level of DFT.

Computed properties:
Electronic total energy (eV/cell): -66.540
Raw formation energy (eV/atom): 0.147

Lattice parameters (Å, degrees): 5.285 11.903 5.409 90.00 90.00 90.00
Space group Cmcm (No. 63)
Symmetry-distinct sites (fractional):
Mg 0.000 0.153 0.250
Cu 0.000 0.312 0.750
Cu 0.239 0.143 0.750
Se 0.000 0.500 0.000

---

Computed, not measured: a relaxed LaPuTe crystal at the PBE level of DFT.

Computed properties:
Electronic total energy (eV/cell): -96.513
Raw formation energy (eV/atom): -0.576

Lattice parameters (Å, degrees): 11.604 3.822 9.060 90.00 120.65 90.00
Space group Cm (No. 8)
Symmetry-distinct sites (fractional):
La 0.000 0.000 0.000
La 0.175 0.000 0.686
Pu 0.084 0.000 0.346
Pu 0.430 0.000 0.301
Te 0.223 0.500 0.002
Te 0.342 0.500 0.553

---

Computed, not measured: a relaxed YMg2Bi2 crystal at the PBE level of DFT.

Computed properties:
Electronic total energy (eV/cell): -37.002
E_form (eV/atom): -0.217

Lattice parameters (Å, degrees): 8.496 8.496 3.785 90.00 90.00 90.00
Space group P4/mbm (No. 127)
Symmetry-distinct sites (fractional):
Y 0.000 0.000 0.000
Mg 0.122 0.378 0.000
Bi 0.179 0.679 0.500

---

Computed, not measured: a relaxed Ac6Ge3SbSe2 crystal at the PBE level of DFT.

Computed properties:
Electronic total energy (eV/cell): -127.739
Raw formation energy (eV/atom): -1.190

Lattice parameters (Å, degrees): 20.175 4.583 9.291 90.00 103.98 90.00
Space group C2/m (No. 12)
Symmetry-distinct sites (fractional):
Ac 0.001 0.000 0.240
Ac 0.165 0.500 0.088
Ac 0.171 0.500 0.580
Ge 0.000 0.500 0.000
Ge 0.167 0.000 0.330
Sb 0.000 0.500 0.500
Se 0.168 0.000 0.836

---

Summary of density in kg/m3
6342; 8885; 5737; 9809; 6752; 7408
(order as listed above)
Summary of V in Å³ per atom
27.61; 27.81; 17.01; 28.81; 27.32; 34.74
(order as listed above)